1.
# Nd2Sm2Ag3

A relaxed structure of Nd2Sm2Ag3 (PBE, the Alexandria database).

a = 5.2136 Å, b = 5.2280 Å, c = 9.0133 Å
α = 89.98°, β = 106.67°, γ = 120.06°
Last column: magnetic moment on the atom in μB.
Element x y z (fractional)
1 Nd 0.2534 0.1268 0.3811  0.16
2 Nd 0.7466 0.8732 0.6189  0.16
3 Sm 0.7539 0.3770 0.1313  0.06
4 Sm 0.2461 0.6230 0.8687  0.06
5 Ag 0.0000 0.0000 0.0000  0.01
6 Ag 0.5037 0.2517 0.7559  0.01
7 Ag 0.4963 0.7483 0.2441  0.01

---

2.
# Ac4TlPd5

A relaxed structure of Ac4TlPd5 (PBE, the Alexandria database).

a = 4.6288 Å, b = 4.6288 Å, c = 15.4671 Å
α = 81.39°, β = 81.39°, γ = 60.00°
Element x y z (fractional)
1 Ac 0.8895 0.8895 0.3316
2 Ac 0.2966 0.2966 0.1102
3 Ac 0.7034 0.7034 0.8898
4 Ac 0.1105 0.1105 0.6684
5 Tl 0.5000 0.5000 0.5000
6 Pd 0.4069 0.4069 0.7793
7 Pd 0.0000 0.0000 0.0000
8 Pd 0.5931 0.5931 0.2207
9 Pd 0.8173 0.8173 0.5482
10 Pd 0.1827 0.1827 0.4518

---

We obtain volume values of 201 283 Å³ per cell for the records listed above, in that order.
We obtain energy values of -4.049 -5.167 eV/atom for the records listed above, in that order.
We obtain energy of formation from the pure elements values of -0.116 -0.691 eV/atom for the records listed above, in that order.